# BeH6Ir

An optimized crystal structure of BeH6Ir (GGA-PBE, Alexandria).

Calculated values
- volume (A^3/atom) = 10.22
- VASP energy (eV per atom) = -4.0526

Cell: 3.9241 9.4172 4.4516 Å, 90.00 96.40 90.00°
Space group C2/m (No. 12)
One atom of each set of equivalent atoms:
Be (0.0000, 0.0000, 0.0000) x2
H (0.0123, 0.1317, 0.7554) x8
H (0.0533, 0.5000, 0.4091) x4
Ir (0.0000, 0.0000, 0.5000) x2

# Tb2H6PdRh2

An optimized crystal structure of Tb2H6PdRh2 (GGA-PBE, Alexandria).

Calculated values
- volume (A^3/atom) = 10.59
- VASP energy (eV per atom) = -4.8911

Cell: 5.0604 5.0604 15.7587 Å, 90.00 90.00 120.00°
Space group R-3m (No. 166, hexagonal axes)
One atom of each set of equivalent atoms:
Tb (0.0000, 0.0000, 0.2273) x6
H (0.0449, 0.5224, 0.7601) x18
Pd (0.0000, 0.0000, 0.0000) x3
Rh (0.0000, 0.0000, 0.3998) x6

# Na2Li7

An optimized crystal structure of Na2Li7 (GGA-PBE, Alexandria).

Calculated values
- volume (A^3/atom) = 23.73
- VASP energy (eV per atom) = -1.7347

Cell: 5.5994 5.5994 7.8655 Å, 90.00 90.00 120.00°
Space group P-31m (No. 162)
One atom of each set of equivalent atoms:
Na (0.3333, 0.6667, 0.0000) x2
Li (0.0000, 0.0000, 0.0000) x1
Li (0.0000, 0.3270, 0.6541) x6

# CsCa2BPt

An optimized crystal structure of CsCa2BPt (GGA-PBE, Alexandria).

Calculated values
- volume (A^3/atom) = 39.74
- VASP energy (eV per atom) = -2.8195

Cell: 5.5196 5.5196 6.5222 Å, 90.00 90.00 90.00°
Space group P4/mmm (No. 123)
One atom of each set of equivalent atoms:
Cs (0.0000, 0.0000, 0.0000) x1
Ca (0.0000, 0.5000, 0.5000) x2
B (0.5000, 0.5000, 0.0000) x1
Pt (0.0000, 0.0000, 0.5000) x1

# Pr3MgRh2

An optimized crystal structure of Pr3MgRh2 (GGA-PBE, Alexandria).

Calculated values
- volume (A^3/atom) = 27.86
- VASP energy (eV per atom) = -5.5890

Cell: 6.7644 13.4786 7.3327 Å, 90.00 90.00 90.00°
Space group Ibam (No. 72)
One atom of each set of equivalent atoms:
Pr (0.0000, 0.0000, 0.2500) x4
Pr (0.0000, 0.2792, 0.2500) x8
Mg (0.0000, 0.5000, 0.0000) x4
Rh (0.2118, 0.1363, 0.0000) x8

# Mg2ZrTlHg

An optimized crystal structure of Mg2ZrTlHg (GGA-PBE, Alexandria).

Calculated values
- volume (A^3/atom) = 28.15
- polymorph energy (0 for the lowest one) (meV per atom) = 0

Cell: 5.0459 5.0459 5.5270 Å, 90.00 90.00 90.00°
Space group P4/mmm (No. 123)
One atom of each set of equivalent atoms:
Mg (0.0000, 0.5000, 0.0000) x2
Zr (0.0000, 0.0000, 0.5000) x1
Tl (0.5000, 0.5000, 0.5000) x1
Hg (0.0000, 0.0000, 0.0000) x1

# DyGa2CuRh4

An optimized crystal structure of DyGa2CuRh4 (GGA-PBE, Alexandria).

Calculated values
- volume (A^3/atom) = 15.22
- VASP energy (eV per atom) = -6.1225

Cell: 4.3802 4.3802 21.9906 Å, 90.00 90.00 120.00°
Space group R-3m (No. 166, hexagonal axes)
One atom of each set of equivalent atoms:
Dy (0.0000, 0.0000, 0.0000) x3
Ga (0.0000, 0.0000, 0.2450) x6
Cu (0.0000, 0.0000, 0.5000) x3
Rh (0.0000, 0.0000, 0.1285) x6
Rh (0.0000, 0.0000, 0.3827) x6

# In2ReRh

An optimized crystal structure of In2ReRh (GGA-PBE, Alexandria).

Calculated values
- volume (A^3/atom) = 17.26
- polymorph energy (0 for the lowest one) (meV per atom) = 70

Cell: 4.6590 4.6590 3.1812 Å, 90.00 90.00 90.00°
Space group P4/mmm (No. 123)
One atom of each set of equivalent atoms:
In (0.0000, 0.5000, 0.0000) x2
Re (0.0000, 0.0000, 0.5000) x1
Rh (0.5000, 0.5000, 0.5000) x1

# La3CoAu

An optimized crystal structure of La3CoAu (GGA-PBE, Alexandria).

Calculated values
- volume (A^3/atom) = 28.62
- polymorph energy (0 for the lowest one) (meV per atom) = 0

Cell: 4.1022 13.2904 10.4987 Å, 90.00 90.00 90.00°
Space group Cmcm (No. 63)
One atom of each set of equivalent atoms:
La (0.0000, 0.0694, 0.2500) x4
La (0.0000, 0.3645, 0.0542) x8
Co (0.0000, 0.0000, 0.0000) x4
Au (0.0000, 0.2499, 0.7500) x4

# YTaAs3

An optimized crystal structure of YTaAs3 (GGA-PBE, Alexandria).

Calculated values
- volume (A^3/atom) = 24.73
- polymorph energy (0 for the lowest one) (meV per atom) = 0

Cell: 4.9818 4.9818 4.9818 Å, 90.00 90.00 90.00°
Space group Pm-3m (No. 221)
One atom of each set of equivalent atoms:
Y (0.0000, 0.0000, 0.0000) x1
Ta (0.5000, 0.5000, 0.5000) x1
As (0.0000, 0.5000, 0.5000) x3

# AlSbO

An optimized crystal structure of AlSbO (GGA-PBE, Alexandria).

Calculated values
- volume (A^3/atom) = 19.41
- polymorph energy (0 for the lowest one) (meV per atom) = 37

Cell: 3.1129 3.5309 10.8328 Å, 98.64 98.19 90.00°
Space group P-1 (No. 2)
One atom of each set of equivalent atoms:
Al (0.2092, 0.2120, 0.4176) x2
Sb (0.4058, 0.8936, 0.8143) x2
O (0.2326, 0.7338, 0.4649) x2

# As2PbAu

An optimized crystal structure of As2PbAu (GGA-PBE, Alexandria).

Calculated values
- volume (A^3/atom) = 22.18
- VASP energy (eV per atom) = -3.7449

Cell: 6.1609 9.4870 3.1363 Å, 90.00 104.57 90.00°
Space group C2/m (No. 12)
One atom of each set of equivalent atoms:
As (0.2500, 0.2500, 0.0000) x4
Pb (0.0000, 0.0000, 0.5000) x2
Au (0.0000, 0.5000, 0.5000) x2

# TcP2H

An optimized crystal structure of TcP2H (GGA-PBE, Alexandria).

Calculated values
- volume (A^3/atom) = 11.22
- VASP energy (eV per atom) = -5.8208

Cell: 5.5036 5.5036 5.9245 Å, 90.00 90.00 90.00°
Space group I-42d (No. 122)
One atom of each set of equivalent atoms:
Tc (0.0000, 0.0000, 0.0000) x4
P (0.1644, 0.2500, 0.6250) x8
H (0.0000, 0.0000, 0.5000) x4

# Pr12GaSi6

An optimized crystal structure of Pr12GaSi6 (GGA-PBE, Alexandria).

Calculated values
- volume (A^3/atom) = 29.10
- VASP energy (eV per atom) = -5.3846

Cell: 10.3404 10.3404 10.3404 Å, 90.00 90.00 90.00°
Space group Im-3 (No. 204)
One atom of each set of equivalent atoms:
Pr (0.0000, 0.1877, 0.2956) x24
Ga (0.0000, 0.0000, 0.0000) x2
Si (0.0000, 0.3865, 0.5000) x12

# BaZnCr

An optimized crystal structure of BaZnCr (GGA-PBE, Alexandria).

Calculated values
- volume (A^3/atom) = 30.22
- polymorph energy (0 for the lowest one) (meV per atom) = 0

Cell: 4.6020 4.6020 4.9428 Å, 90.00 90.00 120.00°
Space group P-6m2 (No. 187)
One atom of each set of equivalent atoms:
Ba (0.0000, 0.0000, 0.0000) x1
Zn (0.3333, 0.6667, 0.5000) x1
Cr (0.6667, 0.3333, 0.5000) x1

# Ce2ErSe2O2

An optimized crystal structure of Ce2ErSe2O2 (GGA-PBE, Alexandria).

Calculated values
- volume (A^3/atom) = 20.74
- VASP energy (eV per atom) = -7.1837

Cell: 4.3356 4.3356 15.4433 Å, 90.00 90.00 90.00°
Space group I4/mmm (No. 139)
One atom of each set of equivalent atoms:
Ce (0.0000, 0.0000, 0.1204) x4
Er (0.0000, 0.0000, 0.5000) x2
Se (0.0000, 0.0000, 0.3195) x4
O (0.0000, 0.5000, 0.0000) x4

# SiBAuC

An optimized crystal structure of SiBAuC (GGA-PBE, Alexandria).

Calculated values
- volume (A^3/atom) = 12.87
- polymorph energy (0 for the lowest one) (meV per atom) = 272

Cell: 3.1216 3.1216 18.2956 Å, 90.00 90.00 120.00°
Space group R3m (No. 160, hexagonal axes)
One atom of each set of equivalent atoms:
Si (0.0000, 0.0000, 0.0000) x3
B (0.0000, 0.0000, 0.8873) x3
Au (0.0000, 0.0000, 0.4859) x3
C (0.0000, 0.0000, 0.3604) x3

# YSc2B6

An optimized crystal structure of YSc2B6 (GGA-PBE, Alexandria).

Calculated values
- volume (A^3/atom) = 10.80
- polymorph energy (0 for the lowest one) (meV per atom) = 0

Cell: 5.5331 5.5331 3.6649 Å, 90.00 90.00 120.00°
Space group P6/mmm (No. 191)
One atom of each set of equivalent atoms:
Y (0.0000, 0.0000, 0.0000) x1
Sc (0.3333, 0.6667, 0.0000) x2
B (0.0000, 0.3389, 0.5000) x6